Density functional theory data (PBE) for an optimized crystal structure of SrHg4Bi2.

Cell: 5.395 5.378 10.332 Å, 62.86 89.42 123.44°
Fractional coordinates of all 7 atoms:
1 Sr 0.000 0.000 0.500
2 Hg 0.820 0.644 0.268
3 Hg 0.180 0.356 0.732
4 Hg 0.539 0.090 0.685
5 Hg 0.461 0.910 0.315
6 Bi 0.712 0.425 0.931
7 Bi 0.288 0.575 0.069

Raw total energy: -1.78 eV/atom
Total magnetic moment: 0.00 μB per formula unit
Formation enthalpy at 0 K: -254 meV/atom